No. 1
DFT (PBE-GGA) results for a relaxed structure of Cu2HgGeSe3S.

Cell: 5.781 5.781 6.843 Å, 114.66 114.66 90.01°
Element x y z (fractional)
Cu 0.238 0.762 0.000
Cu 0.762 0.238 0.000
Hg 0.489 0.489 0.486
Ge 0.999 0.999 0.481
Se 0.363 0.905 0.763
Se 0.631 0.631 0.212
Se 0.905 0.363 0.763
S 0.089 0.089 0.217

Summary:
Its total energy is -3.6255 eV/atom.

=====

No. 2
DFT (PBE-GGA) results for a relaxed structure of Cu2HgGeTeS3.

Cell: 5.739 5.739 6.735 Å, 114.36 114.36 89.80°
Element x y z (fractional)
Cu 0.225 0.775 0.000
Cu 0.775 0.225 0.000
Hg 0.496 0.496 0.472
Ge 0.963 0.963 0.462
Te 0.356 0.356 0.763
S 0.071 0.621 0.204
S 0.621 0.071 0.204
S 0.887 0.887 0.742

Summary:
Its total energy is -3.7069 eV/atom.

=====

No. 3
DFT (PBE-GGA) results for a relaxed structure of ScCuHgGe.

Cell: 4.687 4.687 4.687 Å, 60.00 60.00 60.00°
Element x y z (fractional)
Sc 0.000 0.000 0.000
Cu 0.500 0.500 0.500
Hg 0.750 0.750 0.750
Ge 0.250 0.250 0.250

Summary:
The value obtained for the energy above the lowest structure with this stoichiometry is 0 meV per atom.

=====

No. 4
DFT (PBE-GGA) results for a relaxed structure of ScCuHgGe.

Cell: 4.708 4.708 4.708 Å, 60.00 60.00 60.00°
Element x y z (fractional)
Sc 0.000 0.000 0.000
Cu 0.750 0.750 0.750
Hg 0.250 0.250 0.250
Ge 0.500 0.500 0.500

Summary:
The value obtained for the energy above the lowest structure with this stoichiometry is 116 meV per atom.

=====

No. 5
DFT (PBE-GGA) results for a relaxed structure of Cu2HgGeTe2Se2.

Cell: 7.194 7.194 6.058 Å, 114.15 114.15 49.85°
Element x y z (fractional)
Cu 0.250 0.250 0.227
Cu 0.750 0.750 0.773
Hg 0.010 0.990 0.500
Ge 0.475 0.525 0.000
Te 0.588 0.131 0.628
Te 0.869 0.412 0.372
Se 0.126 0.602 0.097
Se 0.398 0.874 0.903

Summary:
The value obtained for the energy above the lowest structure with this stoichiometry is 0 meV per atom.

=====

No. 6
DFT (PBE-GGA) results for a relaxed structure of Cu2HgGeTe2Se2.

Cell: 7.233 7.226 6.081 Å, 65.19 65.06 49.74°
Element x y z (fractional)
Cu 0.000 0.000 0.500
Cu 0.500 0.500 0.000
Hg 0.263 0.263 0.737
Ge 0.769 0.769 0.231
Te 0.387 0.854 0.613
Te 0.854 0.387 0.146
Se 0.127 0.666 0.334
Se 0.666 0.127 0.873

Summary:
The value obtained for the energy above the lowest structure with this stoichiometry is 7 meV per atom.

=====

No. 7
DFT (PBE-GGA) results for a relaxed structure of TaCuHgGe.

Cell: 4.611 4.611 4.611 Å, 60.00 60.00 60.00°
Element x y z (fractional)
Ta 0.000 0.000 0.000
Cu 0.500 0.500 0.500
Hg 0.750 0.750 0.750
Ge 0.250 0.250 0.250

Summary:
The value obtained for the energy above the lowest structure with this stoichiometry is 0 meV per atom.

=====

No. 8
DFT (PBE-GGA) results for a relaxed structure of TaCuHgGe.

Cell: 4.678 4.678 4.678 Å, 60.00 60.00 60.00°
Element x y z (fractional)
Ta 0.000 0.000 0.000
Cu 0.750 0.750 0.750
Hg 0.250 0.250 0.250
Ge 0.500 0.500 0.500

Summary:
The value obtained for the energy above the lowest structure with this stoichiometry is 268 meV per atom.

=====

No. 9
DFT (PBE-GGA) results for a relaxed structure of CuHgGeW.

Cell: 4.525 4.525 4.525 Å, 60.00 60.00 60.00°
Element x y z (fractional)
Cu 0.000 0.000 0.000
Hg 0.250 0.250 0.250
Ge 0.750 0.750 0.750
W 0.500 0.500 0.500

Summary:
The value obtained for the energy above the lowest structure with this stoichiometry is 0 meV per atom.

=====

No. 10
DFT (PBE-GGA) results for a relaxed structure of CuHgGeW.

Cell: 4.648 4.648 4.648 Å, 60.00 60.00 60.00°
Element x y z (fractional)
Cu 0.000 0.000 0.000
Hg 0.500 0.500 0.500
Ge 0.750 0.750 0.750
W 0.250 0.250 0.250

Summary:
The value obtained for the energy above the lowest structure with this stoichiometry is 325 meV per atom.

=====

No. 11
DFT (PBE-GGA) results for a relaxed structure of ZnCuHgGe.

Cell: 4.631 4.631 4.631 Å, 60.00 60.00 60.00°
Element x y z (fractional)
Zn 0.000 0.000 0.000
Cu 0.500 0.500 0.500
Hg 0.750 0.750 0.750
Ge 0.250 0.250 0.250

Summary:
The value obtained for the energy above the lowest structure with this stoichiometry is 0 meV per atom.

=====

No. 12
DFT (PBE-GGA) results for a relaxed structure of ZnCuHgGe.

Cell: 4.657 4.657 4.657 Å, 60.00 60.00 60.00°
Element x y z (fractional)
Zn 0.000 0.000 0.000
Cu 0.750 0.750 0.750
Hg 0.250 0.250 0.250
Ge 0.500 0.500 0.500

Summary:
The value obtained for the energy above the lowest structure with this stoichiometry is 63 meV per atom.